Entry A
Below is crystalline Ba2Tl5Pd3 at its relaxed geometry, with properties calculated at the GGA-PBE level.

a = 14.2344 Å, b = 14.2344 Å, c = 7.9032 Å
α = 90.00°, β = 90.00°, γ = 160.25°
Last column: nearest neighbours and their distance in Å.
Fractional positions:
Ba 0.5256 0.4744 0.2233  3 Pd 3.10-3.43
Ba 0.8249 0.1751 0.2876  4 Pd 3.37-3.64, 9 Tl 3.51-3.69
Ba 0.1751 0.8249 0.7876  4 Pd 3.37-3.64, 9 Tl 3.51-3.69
Ba 0.4744 0.5256 0.7233  3 Pd 3.10-3.43
Tl 0.5979 0.4021 0.5957  3 Pd 2.87-2.94
Tl 0.7102 0.2898 0.4936  3 Pd 2.92-2.97, 2 Tl 3.15-3.25
Tl 0.2898 0.7102 0.9936  3 Pd 2.92-2.97, 2 Tl 3.15-3.25
Tl 0.8727 0.1273 0.7565  2 Pd 2.87-3.02
Tl 0.7050 0.2950 0.0956  4 Pd 2.89-3.01, 1 Tl 3.15
Tl 0.0523 0.9477 0.8984  4 Pd 2.96-3.01
Tl 0.2950 0.7050 0.5956  4 Pd 2.89-3.01, 1 Tl 3.15
Tl 0.1273 0.8727 0.2565  2 Pd 2.87-3.02
Tl 0.9477 0.0523 0.3984  4 Pd 2.96-3.01
Tl 0.4021 0.5979 0.0957  3 Pd 2.87-2.94
Pd 0.2289 0.7711 0.3014  7 Tl 2.87-3.01
Pd 0.3912 0.6088 0.4651  4 Tl 2.89-2.96, 1 Ba 3.10
Pd 0.9513 0.0487 0.0178  5 Tl 2.87-3.02
Pd 0.7711 0.2289 0.8014  7 Tl 2.87-3.01
Pd 0.0487 0.9513 0.5178  5 Tl 2.87-3.02
Pd 0.6088 0.3912 0.9651  4 Tl 2.89-2.96, 1 Ba 3.10

Properties
- Symmetry: No. 36
- Calculated volume: 541 Å³ per cell
- D(E_F): 0.55 states/eV per atom



Entry B
Below is crystalline Ba2Tl5Pd3 at its relaxed geometry, with properties calculated at the GGA-PBE level.

a = 7.0149 Å, b = 9.8181 Å, c = 9.8181 Å
α = 68.75°, β = 69.07°, γ = 69.07°
Last column: nearest neighbours and their distance in Å.
Fractional positions:
Ba 0.1215 0.6435 0.1134  6 Pd 3.61-3.99, 10 Tl 3.69-3.98
Ba 0.6215 0.1134 0.6435  6 Pd 3.61-3.99, 10 Tl 3.69-3.98
Ba 0.8785 0.3565 0.8866  6 Pd 3.61-3.99, 10 Tl 3.69-3.98
Ba 0.3785 0.8866 0.3565  6 Pd 3.61-3.99, 10 Tl 3.69-3.98
Tl 0.3829 0.2414 0.9927  3 Pd 2.73-2.81
Tl 0.8829 0.9927 0.2414  3 Pd 2.73-2.81
Tl 0.6171 0.7586 0.0073  3 Pd 2.73-2.81
Tl 0.1171 0.0073 0.7586  3 Pd 2.73-2.81
Tl 0.5192 0.7308 0.7308  2 Pd 2.81
Tl 0.4808 0.2692 0.2692  2 Pd 2.81
Tl 0.7500 0.5000 0.5000  4 Pd 2.84
Tl 0.2500 0.5000 0.5000  4 Pd 2.84
Tl 0.9808 0.2692 0.2692  2 Pd 2.81
Tl 0.0192 0.7308 0.7308  2 Pd 2.81
Pd 0.3829 0.4876 0.7465  5 Tl 2.73-2.84
Pd 0.8829 0.7465 0.4876  5 Tl 2.73-2.84
Pd 0.6171 0.5124 0.2535  5 Tl 2.73-2.84
Pd 0.1171 0.2535 0.5124  5 Tl 2.73-2.84
Pd 0.2500 0.0000 0.0000  4 Tl 2.81
Pd 0.7500 0.0000 0.0000  4 Tl 2.81

Properties
- Symmetry: No. 72
- Calculated volume: 568 Å³ per cell
- D(E_F): 0.64 states/eV per atom



Quick one: least stable of them? entry B



Entry A
Below is crystalline BaVPd2 at its relaxed geometry, with properties calculated at the GGA-PBE level.

a = 5.3376 Å, b = 5.3376 Å, c = 9.0040 Å
α = 72.76°, β = 72.76°, γ = 90.00°
Last column: nearest neighbours and their distance in Å.
Fractional positions:
Ba 0.0000 0.0000 0.0000  8 Pd 3.62, 4 V 3.77
Ba 0.7500 0.2500 0.5000  8 Pd 3.62, 4 V 3.77
Pd 0.3749 0.1250 0.2500  2 V 2.44, 2 Pd 2.67
Pd 0.3751 0.6250 0.2500  2 V 2.44, 2 Pd 2.67
Pd 0.3750 0.6251 0.7500  2 V 2.44, 2 Pd 2.67
Pd 0.8750 0.6249 0.7500  2 V 2.44, 2 Pd 2.67
V 0.5000 0.5000 0.0000  4 Pd 2.44
V 0.2500 0.7500 0.5000  4 Pd 2.44

Properties
- Symmetry: No. 141
- Calculated volume: 233 Å³ per cell
- D(E_F): 1.01 states/eV per atom



Entry B
Below is crystalline BaVPd2 at its relaxed geometry, with properties calculated at the GGA-PBE level.

a = 5.0116 Å, b = 5.0116 Å, c = 5.0116 Å
α = 60.00°, β = 60.00°, γ = 60.00°
Last column: nearest neighbours and their distance in Å.
Fractional positions:
Ba 0.5000 0.5000 0.5000  8 Pd 3.07
Pd 0.2500 0.2500 0.2500  4 Ba 3.07, 4 V 3.07
Pd 0.7500 0.7500 0.7500  4 Ba 3.07, 4 V 3.07
V 0.0000 0.0000 0.0000  8 Pd 3.07

Properties
- Symmetry: No. 225
- Calculated volume: 89 Å³ per cell
- D(E_F): 1.23 states/eV per atom



Quick one: least stable of them? entry B



Entry A
Below is crystalline BaVPd3 at its relaxed geometry, with properties calculated at the GGA-PBE level.

a = 4.8796 Å, b = 4.8796 Å, c = 4.8796 Å
α = 90.00°, β = 90.00°, γ = 90.00°
Last column: nearest neighbours and their distance in Å.
Fractional positions:
Ba 0.5000 0.5000 0.5000  12 Pd 3.45
Pd 0.0000 0.5000 0.0000  2 V 2.44
Pd 0.0000 0.0000 0.5000  2 V 2.44
Pd 0.5000 0.0000 0.0000  2 V 2.44
V 0.0000 0.0000 0.0000  6 Pd 2.44

Properties
- Symmetry: No. 221
- Calculated volume: 116 Å³ per cell
- D(E_F): 0.97 states/eV per atom



Entry B
Below is crystalline BaVPd3 at its relaxed geometry, with properties calculated at the GGA-PBE level.

a = 5.3312 Å, b = 5.3312 Å, c = 5.3312 Å
α = 90.00°, β = 90.00°, γ = 90.00°
Last column: nearest neighbours and their distance in Å.
Fractional positions:
Ba 0.0000 0.0000 0.0000  6 Pd 2.67
Pd 0.0000 0.5000 0.0000  2 Ba 2.67
Pd 0.0000 0.0000 0.5000  2 Ba 2.67
Pd 0.5000 0.0000 0.0000  2 Ba 2.67
V 0.5000 0.5000 0.5000  12 Pd 3.77

Properties
- Symmetry: No. 221
- Calculated volume: 152 Å³ per cell
- D(E_F): 2.02 states/eV per atom



Quick one: least stable of them? entry B



Entry A
Below is crystalline BaPdW at its relaxed geometry, with properties calculated at the GGA-PBE level.

a = 3.3049 Å, b = 8.8823 Å, c = 5.5801 Å
α = 84.95°, β = 107.25°, γ = 90.09°
Last column: nearest neighbours and their distance in Å.
Fractional positions:
Pd 0.6623 0.4452 0.1523  4 W 2.75-2.82
Pd 0.4641 0.8738 0.7514  2 W 2.74, 3 Ba 2.83-3.01
Ba 0.7269 0.8981 0.2780  3 Pd 2.83-3.01
Ba 0.9527 0.2392 0.7297  2 Ba 3.30, 5 Pd 3.43-3.64, 3 W 3.46-3.57
W 0.3423 0.5680 0.5102  2 W 2.53, 2 Pd 2.82
W 0.0105 0.6287 0.8467  2 W 2.53, 4 Pd 2.74-2.75

Properties
- Symmetry: No. 1
- Calculated volume: 156 Å³ per cell
- D(E_F): 0.13 states/eV per atom



Entry B
Below is crystalline BaPdW at its relaxed geometry, with properties calculated at the GGA-PBE level.

a = 4.9794 Å, b = 4.9794 Å, c = 4.9794 Å
α = 60.00°, β = 60.00°, γ = 60.00°
Last column: nearest neighbours and their distance in Å.
Fractional positions:
Pd 0.5000 0.5000 0.5000  4 Ba 3.05, 4 W 3.05
Ba 0.7500 0.7500 0.7500  4 Pd 3.05
W 0.2500 0.2500 0.2500  4 Pd 3.05

Properties
- Symmetry: No. 216
- Calculated volume: 87 Å³ per cell
- D(E_F): 0.76 states/eV per atom



Quick one: least stable of them? entry B



Entry A
Below is crystalline BaPdW3 at its relaxed geometry, with properties calculated at the GGA-PBE level.

a = 4.9541 Å, b = 4.9541 Å, c = 4.9541 Å
α = 90.00°, β = 90.00°, γ = 90.00°
Last column: nearest neighbours and their distance in Å.
Fractional positions:
Pd 0.0000 0.0000 0.0000  6 W 2.48
Ba 0.5000 0.5000 0.5000  12 W 3.50
W 0.0000 0.5000 0.0000  2 Pd 2.48
W 0.0000 0.0000 0.5000  2 Pd 2.48
W 0.5000 0.0000 0.0000  2 Pd 2.48

Properties
- Symmetry: No. 221
- Calculated volume: 122 Å³ per cell
- D(E_F): 1.54 states/eV per atom



Entry B
Below is crystalline BaPdW3 at its relaxed geometry, with properties calculated at the GGA-PBE level.

a = 4.9214 Å, b = 4.9214 Å, c = 4.9214 Å
α = 90.00°, β = 90.00°, γ = 90.00°
Last column: nearest neighbours and their distance in Å.
Fractional positions:
Pd 0.5000 0.5000 0.5000  12 W 3.48
Ba 0.0000 0.0000 0.0000  6 W 2.46
W 0.0000 0.5000 0.0000  2 Ba 2.46
W 0.0000 0.0000 0.5000  2 Ba 2.46
W 0.5000 0.0000 0.0000  2 Ba 2.46

Properties
- Symmetry: No. 221
- Calculated volume: 119 Å³ per cell
- D(E_F): 1.38 states/eV per atom



Quick one: least stable of them? entry B



Entry A
Below is crystalline Ba2PdW at its relaxed geometry, with properties calculated at the GGA-PBE level.

a = 5.6425 Å, b = 5.6425 Å, c = 5.6425 Å
α = 60.00°, β = 60.00°, γ = 60.00°
Last column: nearest neighbours and their distance in Å.
Fractional positions:
Pd 0.0000 0.0000 0.0000  8 Ba 3.46
Ba 0.2500 0.2500 0.2500  4 W 3.46, 4 Pd 3.46
Ba 0.7500 0.7500 0.7500  4 W 3.46, 4 Pd 3.46
W 0.5000 0.5000 0.5000  8 Ba 3.46

Properties
- Symmetry: No. 225
- Calculated volume: 127 Å³ per cell
- D(E_F): 1.04 states/eV per atom



Entry B
Below is crystalline Ba2PdW at its relaxed geometry, with properties calculated at the GGA-PBE level.

a = 8.7733 Å, b = 8.7733 Å, c = 7.0349 Å
α = 51.42°, β = 51.42°, γ = 90.00°
Last column: nearest neighbours and their distance in Å.
Fractional positions:
Pd 0.5000 0.5000 0.0000  4 Ba 3.05, 2 W 3.32
Pd 0.2500 0.7500 0.5000  4 Ba 3.05, 2 W 3.32
Ba 0.5964 0.1250 0.2500  2 Pd 3.05, 2 Ba 3.35, 2 W 3.39
Ba 0.1536 0.6250 0.2500  2 Pd 3.05, 2 Ba 3.35, 2 W 3.39
Ba 0.3750 0.4036 0.7500  2 Pd 3.05, 2 Ba 3.35, 2 W 3.39
Ba 0.8750 0.8464 0.7500  2 Pd 3.05, 2 Ba 3.35, 2 W 3.39
W 0.0000 0.0000 0.0000  2 Pd 3.32, 4 Ba 3.39
W 0.7500 0.2500 0.5000  2 Pd 3.32, 4 Ba 3.39

Properties
- Symmetry: No. 122
- Calculated volume: 255 Å³ per cell
- D(E_F): 0.60 states/eV per atom



Quick one: least stable of them? entry B



Entry A
Below is crystalline BaY2Pd2 at its relaxed geometry, with properties calculated at the GGA-PBE level.

a = 5.2567 Å, b = 5.2567 Å, c = 6.8347 Å
α = 67.38°, β = 67.38°, γ = 90.00°
Last column: nearest neighbours and their distance in Å.
Fractional positions:
Y 0.3367 0.3367 0.3266  4 Pd 2.81
Y 0.6633 0.6633 0.6734  4 Pd 2.81
Ba 0.0000 0.0000 0.0000  10 Y 3.86-4.16, 8 Pd 3.89
Pd 0.7500 0.2500 0.5000  4 Y 2.81
Pd 0.2500 0.7500 0.5000  4 Y 2.81

Properties
- Symmetry: No. 139
- Calculated volume: 158 Å³ per cell
- D(E_F): 0.80 states/eV per atom



Entry B
Below is crystalline BaY2Pd2 at its relaxed geometry, with properties calculated at the GGA-PBE level.

a = 8.7300 Å, b = 8.7300 Å, c = 3.3802 Å
α = 90.00°, β = 90.00°, γ = 90.00°
Last column: nearest neighbours and their distance in Å.
Fractional positions:
Y 0.3657 0.8657 0.0000  6 Pd 3.04-3.11, 3 Y 3.32-3.38
Y 0.8657 0.6343 0.0000  6 Pd 3.04-3.11, 3 Y 3.32-3.38
Y 0.6343 0.1343 0.0000  6 Pd 3.04-3.11, 3 Y 3.32-3.38
Y 0.1343 0.3657 0.0000  6 Pd 3.04-3.11, 3 Y 3.32-3.38
Ba 0.0000 0.0000 0.0000  2 Ba 3.38, 4 Y 3.40, 8 Pd 3.71
Ba 0.5000 0.5000 0.0000  2 Ba 3.38, 4 Y 3.40, 8 Pd 3.71
Pd 0.1538 0.6538 0.5000  6 Y 3.04-3.11, 2 Pd 3.38
Pd 0.6538 0.8462 0.5000  6 Y 3.04-3.11, 2 Pd 3.38
Pd 0.8462 0.3462 0.5000  6 Y 3.04-3.11, 2 Pd 3.38
Pd 0.3462 0.1538 0.5000  6 Y 3.04-3.11, 2 Pd 3.38

Properties
- Symmetry: No. 127
- Calculated volume: 258 Å³ per cell
- D(E_F): 0.66 states/eV per atom



Entry C
Below is crystalline BaY2Pd2 at its relaxed geometry, with properties calculated at the GGA-PBE level.

a = 8.3509 Å, b = 8.3509 Å, c = 3.8643 Å
α = 90.00°, β = 90.00°, γ = 90.00°
Last column: nearest neighbours and their distance in Å.
Fractional positions:
Y 0.1487 0.6487 0.5000  6 Pd 3.02-3.27
Y 0.6487 0.8513 0.5000  6 Pd 3.02-3.27
Y 0.8513 0.3513 0.5000  6 Pd 3.02-3.27
Y 0.3513 0.1487 0.5000  6 Pd 3.02-3.27
Ba 0.0000 0.0000 0.0000  4 Pd 3.28
Ba 0.5000 0.5000 0.0000  4 Pd 3.28
Pd 0.3715 0.8715 0.0000  6 Y 3.02-3.27, 1 Pd 3.03, 2 Ba 3.28
Pd 0.8715 0.6285 0.0000  6 Y 3.02-3.27, 1 Pd 3.03, 2 Ba 3.28
Pd 0.6285 0.1285 0.0000  6 Y 3.02-3.27, 1 Pd 3.03, 2 Ba 3.28
Pd 0.1285 0.3715 0.0000  6 Y 3.02-3.27, 1 Pd 3.03, 2 Ba 3.28

Properties
- Symmetry: No. 127
- Calculated volume: 269 Å³ per cell
- D(E_F): 0.78 states/eV per atom



Quick one: least stable of them? entry A



Entry A
Below is crystalline Ba2ZnPd3 at its relaxed geometry, with properties calculated at the GGA-PBE level.

a = 4.5002 Å, b = 4.5305 Å, c = 7.9396 Å
α = 90.00°, β = 90.00°, γ = 90.00°
Last column: nearest neighbours and their distance in Å.
Fractional positions:
Ba 0.0000 0.5000 0.9854  10 Pd 3.40-3.55, 2 Zn 3.55
Ba 0.0000 0.0000 0.5154  8 Pd 3.37-3.49, 4 Zn 3.51
Zn 0.5000 0.5000 0.3310  3 Pd 2.53-2.56
Pd 0.5000 0.0000 0.8380  3 Pd 2.71
Pd 0.5000 0.0000 0.1799  2 Zn 2.56, 1 Pd 2.71
Pd 0.5000 0.5000 0.6501  1 Zn 2.53, 2 Pd 2.71

Properties
- Symmetry: No. 25
- Calculated volume: 162 Å³ per cell
- D(E_F): 0.59 states/eV per atom



Entry B
Below is crystalline Ba2ZnPd3 at its relaxed geometry, with properties calculated at the GGA-PBE level.

a = 4.6277 Å, b = 5.7967 Å, c = 6.9913 Å
α = 114.49°, β = 109.33°, γ = 90.00°
Last column: nearest neighbours and their distance in Å.
Fractional positions:
Ba 0.6813 0.1813 0.3625  6 Pd 3.01-3.38
Ba 0.3187 0.8187 0.6375  6 Pd 3.01-3.38
Zn 0.0000 0.5000 0.0000  6 Pd 2.66-2.90
Pd 0.3886 0.3886 0.7772  1 Pd 2.64, 2 Zn 2.66
Pd 0.0000 0.0000 0.0000  2 Zn 2.90, 4 Ba 3.16
Pd 0.6114 0.6114 0.2228  1 Pd 2.64, 2 Zn 2.66

Properties
- Symmetry: No. 71
- Calculated volume: 159 Å³ per cell
- D(E_F): 0.51 states/eV per atom



Quick one: least stable of them? entry B